K4Nb11Al2O20F (PBE, optimized geometry); energy = -8.27 eV per atom; energy relative to the elements, uncorrected = -90.738 eV per formula unit; total moment = 0.0 μB per cell
1.0
8.993 0.002 0.000
0.171 8.992 0.000
-4.582 -4.497 6.298
K Nb Al O F
4 11 2 20 1
direct
0.807 0.500 0.307
0.500 0.193 0.693
0.500 0.807 0.307
0.193 0.500 0.693
0.999 0.676 0.000
0.676 0.999 0.000
0.676 0.676 0.677
0.001 0.001 0.677
0.999 0.999 0.323
0.324 0.324 0.323
0.324 0.001 0.000
0.000 0.000 0.000
0.685 0.685 0.000
0.315 0.315 0.000
0.001 0.324 0.000
0.750 0.250 0.500
0.250 0.750 0.500
0.160 0.490 0.000
0.840 0.510 0.000
0.166 0.827 0.661
0.166 0.505 0.339
0.160 0.160 0.669
0.510 0.510 0.669
0.830 0.830 0.661
0.170 0.830 0.000
0.510 0.840 0.000
0.830 0.170 0.000
0.490 0.160 0.000
0.170 0.170 0.339
0.834 0.495 0.661
0.490 0.490 0.331
0.840 0.840 0.331
0.505 0.166 0.339
0.834 0.173 0.339
0.827 0.166 0.661
0.495 0.834 0.661
0.173 0.834 0.339
0.500 0.500 0.000